Entry from Alexandria via LeMat-Bulk: an optimized crystal structure of Ac5In2Ge2 (GGA-PBE).

Calculated values
**N(E_F)**: 8.3 states/eV/f.u.
**E_tot**: -4.265 eV per atom
**E_form**: -0.348 eV per atom
**Spin magnetization**: 0.000 μB/atom

Structure (CIF):
```
data_Ac5In2Ge2
_space_group_name_H-M_alt 'I m a 2'
_space_group_IT_number 46
_cell_length_a 18.293
_cell_length_b 7.684
_cell_length_c 9.250
_cell_angle_alpha 90.00
_cell_angle_beta 90.00
_cell_angle_gamma 90.00
loop_
_space_group_symop_operation_xyz
'x,y,z'
'-x,-y,z'
'-x+1/2,y,z'
'x+1/2,-y,z'
'x+1/2,y+1/2,z+1/2'
'-x+1/2,-y+1/2,z+1/2'
'-x,y+1/2,z+1/2'
'x,-y+1/2,z+1/2'
loop_
_atom_site_label
_atom_site_type_symbol
_atom_site_fract_x
_atom_site_fract_y
_atom_site_fract_z
Ac1 Ac 0.067 0.216 0.000
Ac2 Ac 0.150 0.673 0.078
Ac3 Ac 0.250 0.118 0.240
In1 In 0.000 0.000 0.736
In2 In 0.250 0.518 0.387
Ge1 Ge 0.061 0.578 0.774
```

***

Entry from Alexandria via LeMat-Bulk: an optimized crystal structure of Ac3In2Ge (GGA-PBE).

Calculated values
**N(E_F)**: 6.2 states/eV/f.u.
**E_tot**: -4.202 eV per atom
**E_form**: -0.466 eV per atom
**Spin magnetization**: 0.000 μB/atom

Structure (CIF):
```
data_Ac3In2Ge
_space_group_name_H-M_alt 'P n m a'
_space_group_IT_number 62
_cell_length_a 13.565
_cell_length_b 4.535
_cell_length_c 13.628
_cell_angle_alpha 90.00
_cell_angle_beta 90.00
_cell_angle_gamma 90.00
loop_
_space_group_symop_operation_xyz
'x,y,z'
'-x,-y,-z'
'-x+1/2,-y,z+1/2'
'x+1/2,y,-z+1/2'
'x+1/2,-y+1/2,-z+1/2'
'-x+1/2,y+1/2,z+1/2'
'-x,y+1/2,-z'
'x,-y+1/2,z'
loop_
_atom_site_label
_atom_site_type_symbol
_atom_site_fract_x
_atom_site_fract_y
_atom_site_fract_z
Ac1 Ac 0.055 0.250 0.122
Ac2 Ac 0.117 0.750 0.545
Ac3 Ac 0.224 0.250 0.783
In1 In 0.010 0.750 0.307
In2 In 0.189 0.750 0.989
Ge1 Ge 0.126 0.250 0.367
```

***

Entry from Alexandria via LeMat-Bulk: an optimized crystal structure of AcIn2Ge (GGA-PBE).

Calculated values
**N(E_F)**: 3.5 states/eV/f.u.
**E_tot**: -3.780 eV per atom
**E_form**: -0.229 eV per atom
**Spin magnetization**: 0.000 μB/atom

Structure (CIF):
```
data_AcIn2Ge
_space_group_name_H-M_alt 'R -3 m'
_space_group_IT_number 166
_space_group_name_Hall '-R 3 2"'
_cell_length_a 4.9221
_cell_length_b 4.9221
_cell_length_c 16.8343
_cell_angle_alpha 90.00
_cell_angle_beta 90.00
_cell_angle_gamma 120.00
loop_
_atom_site_label
_atom_site_type_symbol
_atom_site_fract_x
_atom_site_fract_y
_atom_site_fract_z
Ac1 Ac 0.0000 0.0000 0.0000
In1 In 0.0000 0.0000 0.2187
Ge1 Ge 0.0000 0.0000 0.5000
```

***

Entry from Alexandria via LeMat-Bulk: an optimized crystal structure of Ac4InGe (GGA-PBE).

Calculated values
**N(E_F)**: 8.4 states/eV/f.u.
**E_tot**: -4.190 eV per atom
**E_form**: -0.225 eV per atom
**Spin magnetization**: 0.000 μB/atom

Structure (CIF):
```
data_Ac4InGe
_space_group_name_H-M_alt 'P 1 21/c 1'
_space_group_IT_number 14
_cell_length_a 8.013
_cell_length_b 7.944
_cell_length_c 7.889
_cell_angle_alpha 90.00
_cell_angle_beta 90.64
_cell_angle_gamma 90.00
loop_
_space_group_symop_operation_xyz
'x,y,z'
'-x,-y,-z'
'-x,y+1/2,-z+1/2'
'x,-y+1/2,z+1/2'
loop_
_atom_site_label
_atom_site_type_symbol
_atom_site_fract_x
_atom_site_fract_y
_atom_site_fract_z
Ac1 Ac 0.151 0.167 0.173
Ac2 Ac 0.329 0.653 0.145
In1 In 0.500 0.000 0.000
Ge1 Ge 0.000 0.000 0.500
```

***

Entry from Alexandria via LeMat-Bulk: an optimized crystal structure of Ac4In2Ge (GGA-PBE).

Calculated values
**N(E_F)**: 9.2 states/eV/f.u.
**E_tot**: -4.217 eV per atom
**E_form**: -0.428 eV per atom
**Spin magnetization**: 0.069 μB/atom

Structure (CIF):
```
data_Ac4In2Ge
_space_group_name_H-M_alt 'C 1 2/m 1'
_space_group_IT_number 12
_cell_length_a 12.505
_cell_length_b 5.035
_cell_length_c 9.486
_cell_angle_alpha 90.00
_cell_angle_beta 120.22
_cell_angle_gamma 90.00
loop_
_space_group_symop_operation_xyz
'x,y,z'
'-x,-y,-z'
'-x,y,-z'
'x,-y,z'
'x+1/2,y+1/2,z'
'-x+1/2,-y+1/2,-z'
'-x+1/2,y+1/2,-z'
'x+1/2,-y+1/2,z'
loop_
_atom_site_label
_atom_site_type_symbol
_atom_site_fract_x
_atom_site_fract_y
_atom_site_fract_z
Ac1 Ac 0.085 0.000 0.372
Ac2 Ac 0.179 0.500 0.078
In1 In 0.129 0.500 0.659
Ge1 Ge 0.000 0.000 0.000
```

***

Entry from Alexandria via LeMat-Bulk: an optimized crystal structure of AcInGe (GGA-PBE).

Calculated values
**N(E_F)**: 1.5 states/eV/f.u.
**E_tot**: -4.360 eV per atom
**E_form**: -0.539 eV per atom
**Spin magnetization**: 0.000 μB/atom

Structure (CIF):
```
data_AcInGe
_space_group_name_H-M_alt 'P -1'
_space_group_IT_number 2
_cell_length_a 4.646
_cell_length_b 6.118
_cell_length_c 6.440
_cell_angle_alpha 90.04
_cell_angle_beta 90.06
_cell_angle_gamma 112.30
loop_
_space_group_symop_operation_xyz
'x,y,z'
'-x,-y,-z'
loop_
_atom_site_label
_atom_site_type_symbol
_atom_site_fract_x
_atom_site_fract_y
_atom_site_fract_z
Ac1 Ac 0.187 0.376 0.250
In1 In 0.500 0.000 0.000
In2 In 0.500 0.000 0.500
Ge1 Ge 0.110 0.220 0.750
```

***

Entry from Alexandria via LeMat-Bulk: an optimized crystal structure of Ac8In3Ge (GGA-PBE).

Calculated values
**N(E_F)**: 18.1 states/eV/f.u.
**E_tot**: -4.004 eV per atom
**E_form**: -0.196 eV per atom
**Spin magnetization**: 0.000 μB/atom

Structure (CIF):
```
data_Ac8In3Ge
_space_group_name_H-M_alt 'I 4/m m m'
_space_group_IT_number 139
_space_group_name_Hall '-I 4 2'
_cell_length_a 7.896
_cell_length_b 7.896
_cell_length_c 15.760
_cell_angle_alpha 90.00
_cell_angle_beta 90.00
_cell_angle_gamma 90.00
loop_
_atom_site_label
_atom_site_type_symbol
_atom_site_fract_x
_atom_site_fract_y
_atom_site_fract_z
Ac1 Ac 0.244 0.244 0.121
In1 In 0.000 0.000 0.500
In2 In 0.000 0.500 0.250
Ge1 Ge 0.000 0.000 0.000
```

***

Entry from Alexandria via LeMat-Bulk: an optimized crystal structure of AcInGe4 (GGA-PBE).

Calculated values
**N(E_F)**: 2.1 states/eV/f.u.
**E_tot**: -4.417 eV per atom
**E_form**: -0.198 eV per atom
**Spin magnetization**: 0.000 μB/atom

Structure (CIF):
```
data_AcInGe4
_space_group_name_H-M_alt 'F -4 3 m'
_space_group_IT_number 216
_space_group_name_Hall 'F -4 2 3'
_cell_length_a 8.235
_cell_length_b 8.235
_cell_length_c 8.235
_cell_angle_alpha 90.00
_cell_angle_beta 90.00
_cell_angle_gamma 90.00
loop_
_atom_site_label
_atom_site_type_symbol
_atom_site_fract_x
_atom_site_fract_y
_atom_site_fract_z
Ac1 Ac 0.000 0.000 0.000
In1 In 0.250 0.250 0.750
Ge1 Ge 0.125 0.125 0.375
```

***

Entry from Alexandria via LeMat-Bulk: an optimized crystal structure of AcIn2Ge (GGA-PBE).

Calculated values
**N(E_F)**: 2.5 states/eV/f.u.
**E_tot**: -3.930 eV per atom
**E_form**: -0.379 eV per atom
**Spin magnetization**: 0.000 μB/atom

Structure (CIF):
```
data_AcIn2Ge
_space_group_name_H-M_alt 'P 4/m m m'
_space_group_IT_number 123
_space_group_name_Hall '-P 4 2'
_cell_length_a 4.622
_cell_length_b 4.622
_cell_length_c 5.199
_cell_angle_alpha 90.00
_cell_angle_beta 90.00
_cell_angle_gamma 90.00
loop_
_atom_site_label
_atom_site_type_symbol
_atom_site_fract_x
_atom_site_fract_y
_atom_site_fract_z
Ac1 Ac 0.000 0.000 0.000
In1 In 0.000 0.500 0.500
Ge1 Ge 0.500 0.500 0.000
```

***

Entry from Alexandria via LeMat-Bulk: an optimized crystal structure of Ac2InGe (GGA-PBE).

Calculated values
**N(E_F)**: 3.3 states/eV/f.u.
**E_tot**: -4.477 eV per atom
**E_form**: -0.584 eV per atom
**Spin magnetization**: 0.010 μB/atom

Structure (CIF):
```
data_Ac2InGe
_space_group_name_H-M_alt 'P 1 21/m 1'
_space_group_IT_number 11
_cell_length_a 6.602
_cell_length_b 4.419
_cell_length_c 9.548
_cell_angle_alpha 90.00
_cell_angle_beta 108.01
_cell_angle_gamma 90.00
loop_
_space_group_symop_operation_xyz
'x,y,z'
'-x,-y,-z'
'-x,y+1/2,-z'
'x,-y+1/2,z'
loop_
_atom_site_label
_atom_site_type_symbol
_atom_site_fract_x
_atom_site_fract_y
_atom_site_fract_z
Ac1 Ac 0.202 0.250 0.422
Ac2 Ac 0.277 0.750 0.064
In1 In 0.360 0.750 0.714
Ge1 Ge 0.135 0.250 0.790
```